Rb2CoPt PBE relaxed; energy of formation = 1.09 eV per atom; calculated volume = 129 Å³ per cell; SG = Fm-3m, No. 225; M_tot = 0.712 μB per atom; VASP energy = -2.677 eV/atom
1.0
0.0000 4.0092 4.0092
4.0092 0.0000 4.0092
4.0092 4.0092 0.0000
Rb Pt Co
2 1 1
Direct
0.7500 0.7500 0.7500 Rb
0.2500 0.2500 0.2500 Rb
0.5000 0.5000 0.5000 Pt
0.0000 0.0000 0.0000 Co